a.
Here is a relaxed La4Y7Tm crystal from Alexandria via LeMat-Bulk. Energies are from PBE.

The structure in POSCAR format:
```
La4Y7Tm
1.0
1.814 -3.142 0.000
1.814 3.142 0.000
0.000 0.000 35.311
La Y Tm
4 7 1
Direct
0.667 0.333 0.084 La
0.667 0.333 0.335 La
0.333 0.667 0.916 La
0.333 0.667 0.665 La
0.667 0.333 0.831 Y
0.667 0.333 0.580 Y
0.000 0.000 0.750 Y
0.333 0.667 0.169 Y
0.000 0.000 0.000 Y
0.333 0.667 0.420 Y
0.000 0.000 0.250 Y
0.000 0.000 0.500 Tm
```

**Density of states at the Fermi level**: 17.86 states/eV/f.u.
**Total magnetization**: 0.0000 μB/atom

b.
Here is a relaxed La4Y7Tm crystal from Alexandria via LeMat-Bulk. Energies are from PBE.

The structure in POSCAR format:
```
La4Y7Tm
1.0
-5.096 -0.033 -3.063
-2.088 -11.738 -2.171
-5.650 -0.182 3.632
La Tm Y
4 1 7
Direct
0.352 0.777 0.519 La
0.687 0.716 0.910 La
0.313 0.284 0.090 La
0.648 0.223 0.481 La
0.000 0.000 0.000 Tm
0.028 0.627 0.318 Y
0.351 0.515 0.783 Y
0.972 0.373 0.682 Y
0.203 0.086 0.509 Y
0.797 0.914 0.491 Y
0.649 0.485 0.217 Y
0.500 0.000 0.000 Y
```

**Density of states at the Fermi level**: 21.07 states/eV/f.u.
**Total magnetization**: 0.0005 μB/atom

It is b that is the least stable of them.

a.
Here is a relaxed LaYTm5 crystal from Alexandria via LeMat-Bulk. Energies are from PBE.

The structure in POSCAR format:
```
LaYTm5
1.0
6.308 0.010 3.160
3.064 8.062 1.745
-0.451 -0.078 8.788
Tm Y La
10 2 2
Direct
0.250 0.500 0.000 Tm
0.250 0.292 0.708 Tm
0.967 0.283 0.282 Tm
0.533 0.718 0.717 Tm
0.750 0.500 0.000 Tm
0.750 0.000 0.500 Tm
0.033 0.717 0.718 Tm
0.750 0.708 0.292 Tm
0.467 0.282 0.283 Tm
0.250 0.000 0.500 Tm
0.250 0.705 0.295 Y
0.750 0.295 0.705 Y
0.500 0.000 0.000 La
0.000 0.000 0.000 La
```

**Density of states at the Fermi level**: 11.17 states/eV/f.u.
**Total magnetization**: 0.0000 μB/atom

b.
Here is a relaxed LaYTm5 crystal from Alexandria via LeMat-Bulk. Energies are from PBE.

The structure in POSCAR format:
```
LaYTm5
1.0
5.772 0.000 0.000
2.886 7.274 0.492
2.886 1.785 7.069
Y Tm La
1 5 1
Direct
0.500 0.500 0.500 Y
0.254 0.746 0.746 Tm
0.500 0.179 0.821 Tm
0.746 0.254 0.254 Tm
0.500 0.821 0.179 Tm
0.000 0.500 0.500 Tm
0.000 0.000 0.000 La
```

**Density of states at the Fermi level**: 9.44 states/eV/f.u.
**Total magnetization**: 0.0001 μB/atom

It is b that is the least stable of them.

a.
Here is a relaxed La2TmZn crystal from Alexandria via LeMat-Bulk. Energies are from PBE.

The structure in POSCAR format:
```
La2TmZn
1.0
-1.760 3.367 3.991
-5.370 0.276 1.203
-1.872 -2.090 4.742
Zn Tm La
1 1 2
Direct
0.000 0.000 0.000 Zn
0.500 0.500 0.500 Tm
0.250 0.250 0.250 La
0.750 0.750 0.750 La
```

**Density of states at the Fermi level**: 4.41 states/eV/f.u.
**Total magnetization**: 0.0007 μB/atom

b.
Here is a relaxed La2TmZn crystal from Alexandria via LeMat-Bulk. Energies are from PBE.

The structure in POSCAR format:
```
La2TmZn
1.0
-3.450 1.360 -0.525
-1.335 -3.489 -0.264
-1.355 -0.131 8.570
Tm La Zn
1 2 1
Direct
0.500 0.500 0.500 Tm
0.000 0.000 0.785 La
0.000 0.000 0.215 La
0.500 0.500 0.000 Zn
```

**Density of states at the Fermi level**: 5.64 states/eV/f.u.
**Total magnetization**: 0.0001 μB/atom

c.
Here is a relaxed La2TmZn crystal from Alexandria via LeMat-Bulk. Energies are from PBE.

The structure in POSCAR format:
```
La2TmZn
1.0
5.188 0.000 0.000
0.000 5.188 0.000
-2.594 -2.594 8.776
Tm Zn La
2 2 4
Direct
0.152 0.152 0.304 Tm
0.848 0.848 0.696 Tm
0.750 0.250 0.500 Zn
0.250 0.750 0.500 Zn
0.356 0.356 0.712 La
0.000 0.500 0.000 La
0.644 0.644 0.288 La
0.500 0.000 0.000 La
```

**Density of states at the Fermi level**: 4.20 states/eV/f.u.
**Total magnetization**: 0.0000 μB/atom

d.
Here is a relaxed La2TmZn crystal from Alexandria via LeMat-Bulk. Energies are from PBE.

The structure in POSCAR format:
```
La2TmZn
1.0
3.527 0.000 0.000
1.764 3.055 0.000
1.764 1.018 12.256
Zn La Tm
1 2 1
Direct
0.000 0.000 0.000 Zn
0.088 0.088 0.737 La
0.912 0.912 0.263 La
0.500 0.500 0.500 Tm
```

**Density of states at the Fermi level**: 5.34 states/eV/f.u.
**Total magnetization**: 0.0000 μB/atom

It is d that is the least stable of them.

a.
Here is a relaxed LaTm2Zn crystal from Alexandria via LeMat-Bulk. Energies are from PBE.

The structure in POSCAR format:
```
LaTm2Zn
1.0
3.496 0.000 -1.088
-0.701 4.940 -2.253
0.113 -0.048 6.522
Zn Tm La
1 2 1
Direct
0.500 0.000 0.000 Zn
0.213 0.213 0.427 Tm
0.787 0.787 0.573 Tm
0.000 0.500 0.000 La
```

**Density of states at the Fermi level**: 5.40 states/eV/f.u.
**Total magnetization**: 0.0000 μB/atom

b.
Here is a relaxed LaTm2Zn crystal from Alexandria via LeMat-Bulk. Energies are from PBE.

The structure in POSCAR format:
```
LaTm2Zn
1.0
-1.883 -2.744 -3.516
-2.144 -2.719 3.270
-3.828 2.829 -0.157
Tm La Zn
2 1 1
Direct
0.000 0.000 0.500 Tm
0.000 0.500 0.000 Tm
0.500 0.000 0.000 La
0.500 0.500 0.500 Zn
```

**Density of states at the Fermi level**: 5.48 states/eV/f.u.
**Total magnetization**: 0.0000 μB/atom

c.
Here is a relaxed LaTm2Zn crystal from Alexandria via LeMat-Bulk. Energies are from PBE.

The structure in POSCAR format:
```
LaTm2Zn
1.0
-2.011 -0.513 2.925
-2.945 -2.040 -0.183
3.990 -9.213 3.325
Zn Tm La
1 2 1
Direct
0.666 0.666 0.002 Zn
0.069 0.069 0.794 Tm
0.264 0.264 0.207 Tm
0.501 0.501 0.498 La
```

**Density of states at the Fermi level**: 4.48 states/eV/f.u.
**Total magnetization**: 0.0003 μB/atom

d.
Here is a relaxed LaTm2Zn crystal from Alexandria via LeMat-Bulk. Energies are from PBE.

The structure in POSCAR format:
```
LaTm2Zn
1.0
-0.651 -3.172 -1.459
2.584 -1.436 1.968
-5.845 -1.743 6.401
La Tm Zn
1 2 1
Direct
0.500 0.500 0.500 La
0.000 0.000 0.195 Tm
0.000 0.000 0.805 Tm
0.500 0.500 0.000 Zn
```

**Density of states at the Fermi level**: 4.81 states/eV/f.u.
**Total magnetization**: 0.0000 μB/atom

It is b that is the least stable of them.

a.
Here is a relaxed LaTmZn crystal from Alexandria via LeMat-Bulk. Energies are from PBE.

The structure in POSCAR format:
```
LaTmZn
1.0
3.782 0.000 0.000
0.000 5.064 0.000
0.000 -2.532 4.386
Tm Zn La
1 1 1
Direct
0.166 0.000 0.000 Tm
0.168 0.333 0.667 Zn
0.666 0.667 0.333 La
```

**Density of states at the Fermi level**: 4.17 states/eV/f.u.
**Total magnetization**: 0.0000 μB/atom

b.
Here is a relaxed LaTmZn crystal from Alexandria via LeMat-Bulk. Energies are from PBE.

The structure in POSCAR format:
```
LaTmZn
1.0
4.752 0.000 0.000
0.000 7.829 0.000
0.000 -3.915 6.780
Zn Tm La
3 3 3
Direct
0.500 0.667 0.333 Zn
0.500 0.333 0.667 Zn
0.000 0.000 0.000 Zn
0.500 0.265 0.265 Tm
0.500 0.000 0.735 Tm
0.500 0.735 0.000 Tm
0.000 0.000 0.391 La
0.000 0.609 0.609 La
0.000 0.391 0.000 La
```

**Density of states at the Fermi level**: 4.04 states/eV/f.u.
**Total magnetization**: 0.0010 μB/atom

c.
Here is a relaxed LaTmZn crystal from Alexandria via LeMat-Bulk. Energies are from PBE.

The structure in POSCAR format:
```
LaTmZn
1.0
3.645 0.000 0.000
0.000 3.645 0.000
-1.822 -1.822 6.230
Zn La Tm
1 1 1
Direct
0.681 0.681 0.361 Zn
0.016 0.016 0.032 La
0.304 0.304 0.607 Tm
```

**Density of states at the Fermi level**: 3.97 states/eV/f.u.
**Total magnetization**: 0.0271 μB/atom

It is a that is the least stable of them.

a.
Here is a relaxed LaTmZr crystal from Alexandria via LeMat-Bulk. Energies are from PBE.

The structure in POSCAR format:
```
LaTmZr
1.0
3.448 0.000 0.000
-1.724 2.986 0.000
0.000 0.000 8.471
La Zr Tm
1 1 1
Direct
0.000 0.000 0.016 La
0.667 0.333 0.339 Zr
0.333 0.667 0.645 Tm
```

**Density of states at the Fermi level**: 3.49 states/eV/f.u.
**Total magnetization**: 0.0000 μB/atom

b.
Here is a relaxed LaTmZr crystal from Alexandria via LeMat-Bulk. Energies are from PBE.

The structure in POSCAR format:
```
LaTmZr
1.0
-2.247 2.011 1.546
-2.502 -2.098 -0.908
3.322 -3.907 6.197
Tm Zr La
1 1 1
Direct
0.682 0.682 0.363 Tm
0.326 0.326 0.653 Zr
0.992 0.992 0.984 La
```

**Density of states at the Fermi level**: 4.83 states/eV/f.u.
**Total magnetization**: 0.0000 μB/atom

It is a that is the least stable of them.